HfPaGe2Ir5 after structural relaxation, computed with GGA-PBE.

Unit cell a=3.9395 b=3.9395 c=11.6467 alpha=90.00 beta=90.00 gamma=90.00
Closest atoms and distances in Å follow each position.
Positions (direct):
Hf  0.0000  0.0000  0.0000  8 Ir 2.75
Pa  0.0000  0.0000  0.5000  4 Ir 2.79
Ge  0.5000  0.5000  0.2894  5 Ir 2.45
Ge  0.5000  0.5000  0.7106  5 Ir 2.45
Ir  0.0000  0.5000  0.1647  2 Ge 2.45
Ir  0.5000  0.0000  0.1647  2 Ge 2.45
Ir  0.0000  0.5000  0.8353  2 Ge 2.45
Ir  0.5000  0.0000  0.8353  2 Ge 2.45
Ir  0.5000  0.5000  0.5000  2 Ge 2.45

## Properties
Formation energy: -313 meV per atom
Symmetry: No. 123
Density: 13.93 g/cm3